Record 1
# YZr2Fe (PBE, optimized geometry)
# E_form: 0.19 eV per atom
data_YZr2Fe
_cell_length_a 4.287
_cell_length_b 3.364
_cell_length_c 6.481
_cell_angle_alpha 72.61
_cell_angle_beta 90.00
_cell_angle_gamma 90.00
_symmetry_space_group_name_H-M 'P 1'
_symmetry_Int_Tables_number 1
_symmetry_space_group_name_Hall 'P 1'
loop_
_atom_site_label
_atom_site_type_symbol
_atom_site_fract_x
_atom_site_fract_y
_atom_site_fract_z
Fe1 Fe 0.000 0.516 0.452
Y1 Y 0.500 0.674 0.723
Zr1 Zr 0.000 0.982 0.051
Zr2 Zr 0.500 0.328 0.274

---

Record 2
# Li3LaMg9 (PBE, optimized geometry)
# E_form: -0.07 eV per atom
data_Li3LaMg9
_cell_length_a 5.528
_cell_length_b 7.821
_cell_length_c 7.873
_cell_angle_alpha 83.17
_cell_angle_beta 69.45
_cell_angle_gamma 70.20
_symmetry_space_group_name_H-M 'P 1'
_symmetry_Int_Tables_number 1
_symmetry_space_group_name_Hall 'P 1'
loop_
_atom_site_label
_atom_site_type_symbol
_atom_site_fract_x
_atom_site_fract_y
_atom_site_fract_z
Li1 Li 0.500 0.500 0.000
Li2 Li 0.000 0.000 0.500
Li3 Li 0.500 0.000 0.500
La1 La 0.000 0.000 0.000
Mg1 Mg 0.709 0.788 0.782
Mg2 Mg 0.291 0.212 0.218
Mg3 Mg 0.509 0.212 0.782
Mg4 Mg 0.491 0.788 0.218
Mg5 Mg 0.649 0.350 0.356
Mg6 Mg 0.351 0.650 0.644
Mg7 Mg 0.995 0.650 0.356
Mg8 Mg 0.005 0.350 0.644
Mg9 Mg 0.000 0.500 0.000

---

Record 3
# ScH7Pd2Rh2 (PBE, optimized geometry)
# Final energy: -57.71 eV/f.u.
data_ScH7Pd2Rh2
_cell_length_a 3.448
_cell_length_b 4.064
_cell_length_c 8.037
_cell_angle_alpha 104.64
_cell_angle_beta 102.39
_cell_angle_gamma 90.00
_symmetry_space_group_name_H-M 'P 1'
_symmetry_Int_Tables_number 1
_symmetry_space_group_name_Hall 'P 1'
loop_
_atom_site_label
_atom_site_type_symbol
_atom_site_fract_x
_atom_site_fract_y
_atom_site_fract_z
Sc1 Sc 0.000 0.992 0.000
H1 H 0.393 0.875 0.787
H2 H 0.717 0.752 0.434
H3 H 0.083 0.606 0.167
H4 H 0.607 0.088 0.213
H5 H 0.283 0.318 0.566
H6 H 0.917 0.439 0.833
H7 H 0.500 0.301 0.000
Pd1 Pd 0.275 0.804 0.550
Pd2 Pd 0.725 0.254 0.450
Rh1 Rh 0.405 0.439 0.809
Rh2 Rh 0.595 0.630 0.191

---

Record 4
# Y12Ni6Hg (PBE, optimized geometry)
# E_form: -0.34 eV per atom
data_Y12Ni6Hg
_cell_length_a 8.418
_cell_length_b 8.418
_cell_length_c 8.418
_cell_angle_alpha 109.47
_cell_angle_beta 109.47
_cell_angle_gamma 109.47
_symmetry_space_group_name_H-M 'P 1'
_symmetry_Int_Tables_number 1
_symmetry_space_group_name_Hall 'P 1'
loop_
_atom_site_label
_atom_site_type_symbol
_atom_site_fract_x
_atom_site_fract_y
_atom_site_fract_z
Y1 Y 0.301 0.115 0.813
Y2 Y 0.301 0.488 0.187
Y3 Y 0.699 0.512 0.813
Y4 Y 0.699 0.885 0.187
Y5 Y 0.115 0.813 0.301
Y6 Y 0.488 0.187 0.301
Y7 Y 0.512 0.813 0.699
Y8 Y 0.885 0.187 0.699
Y9 Y 0.813 0.301 0.115
Y10 Y 0.187 0.301 0.488
Y11 Y 0.813 0.699 0.512
Y12 Y 0.187 0.699 0.885
Ni1 Ni 0.377 0.500 0.877
Ni2 Ni 0.623 0.500 0.123
Ni3 Ni 0.500 0.877 0.377
Ni4 Ni 0.500 0.123 0.623
Ni5 Ni 0.877 0.377 0.500
Ni6 Ni 0.123 0.623 0.500
Hg1 Hg 0.000 0.000 0.000

---

Record 5
# AlAs2Pb (PBE, optimized geometry)
# E_form: 0.12 eV per atom
data_AlAs2Pb
_cell_length_a 7.575
_cell_length_b 7.575
_cell_length_c 7.575
_cell_angle_alpha 30.83
_cell_angle_beta 30.83
_cell_angle_gamma 30.83
_symmetry_space_group_name_H-M 'P 1'
_symmetry_Int_Tables_number 1
_symmetry_space_group_name_Hall 'P 1'
loop_
_atom_site_label
_atom_site_type_symbol
_atom_site_fract_x
_atom_site_fract_y
_atom_site_fract_z
Pb1 Pb 0.507 0.507 0.507
As1 As 0.020 0.020 0.020
As2 As 0.248 0.248 0.248
Al1 Al 0.725 0.725 0.725

---

Record 6
# Rb2NaLaFe (PBE, optimized geometry)
# E_form: 0.70 eV per atom
data_Rb2NaLaFe
_cell_length_a 7.523
_cell_length_b 4.395
_cell_length_c 7.523
_cell_angle_alpha 90.00
_cell_angle_beta 90.00
_cell_angle_gamma 90.00
_symmetry_space_group_name_H-M 'P 1'
_symmetry_Int_Tables_number 1
_symmetry_space_group_name_Hall 'P 1'
loop_
_atom_site_label
_atom_site_type_symbol
_atom_site_fract_x
_atom_site_fract_y
_atom_site_fract_z
Na1 Na 0.500 0.500 0.500
Fe1 Fe 0.000 0.500 0.000
Rb1 Rb 0.000 0.000 0.500
Rb2 Rb 0.500 0.000 0.000
La1 La 0.000 0.000 0.000

---

Respective calculated volume values: 89.2 299.9 106.3 459.2 101.2 248.7 Å³/cell.